Record 1
Compound: Ba3Ga9Au2
Source: Alexandria
Functional: PBE
Structure: optimized geometry

The structure in POSCAR format:
```
Ba3Ga9Au2
1.0
-3.446 -2.886 -1.229
0.853 -7.063 5.357
-5.921 0.481 6.635
Ba Ga Au
3 9 2
Direct
0.000 0.000 0.000
0.689 0.311 0.311
0.311 0.689 0.689
0.000 0.500 0.500
0.664 0.971 0.700
0.336 0.029 0.300
0.664 0.700 0.971
0.336 0.300 0.029
0.855 0.872 0.417
0.145 0.128 0.583
0.855 0.417 0.872
0.145 0.583 0.128
0.500 0.279 0.721
0.500 0.721 0.279
```

energy: -45.24 eV for the cell shown
space-group type: Immm
total magnetic moment: 0.00 μB per cell
E_form: -0.41 eV/atom

=====

Record 2
Compound: Pr3Sm3ErS8
Source: Alexandria
Functional: PBE
Structure: optimized geometry

The structure in POSCAR format:
```
Pr3Sm3ErS8
1.0
-4.311 6.642 1.479
1.813 -5.047 6.011
5.826 4.528 -3.353
Pr Sm Er S
3 3 1 8
Direct
0.000 0.000 0.000
0.000 0.500 0.000
0.500 0.500 0.000
0.500 0.000 0.500
0.500 0.500 0.500
0.000 0.500 0.500
0.000 0.000 0.500
0.253 0.506 0.259
0.747 0.494 0.741
0.759 0.517 0.264
0.241 0.483 0.736
0.759 0.005 0.264
0.241 0.995 0.736
0.247 0.005 0.264
0.753 0.995 0.736
```

energy: -96.84 eV for the cell shown
space-group type: R-3m
energy relative to the elements, uncorrected: -47.3 kcal/mol of atoms
total magnetic moment: 0.00 μB per cell

=====

Record 3
Compound: BeTeP2W
Source: Alexandria
Functional: PBE
Structure: optimized geometry

The structure in POSCAR format:
```
BeTeP2W
1.0
-4.125 -1.572 1.100
2.312 -2.966 4.431
-0.637 3.583 2.731
P Te W Be
2 1 1 1
Direct
0.000 0.000 0.500
0.500 0.000 0.000
0.000 0.500 0.000
0.000 0.000 0.000
0.500 0.500 0.500
```

energy: -26.32 eV for the cell shown
space-group type: P4/mmm
energy relative to the elements, uncorrected: 19.9 kcal/mol of atoms
total magnetic moment: 0.00 μB per cell